# 1
SrLiTl4Pd2 | GGA-PBE | relaxed

a = 4.7720 Å, b = 4.7720 Å, c = 10.0643 Å
α = 76.29°, β = 76.29°, γ = 60.00°
Sites, in units of the cell vectors:
Sr: 0.0000 0.0000 0.0000
Li: 0.5000 0.5000 0.5000
Tl: 0.3982 0.3982 0.8053
Tl: 0.8693 0.8693 0.3921
Tl: 0.1307 0.1307 0.6079
Tl: 0.6018 0.6018 0.1947
Pd: 0.7684 0.7684 0.6949
Pd: 0.2316 0.2316 0.3051

Symmetry   R-3m (166)
DFT total energy   -25.69 eV/cell



# 2
Sr2Li6TlPd | GGA-PBE | relaxed

a = 7.2276 Å, b = 7.2272 Å, c = 7.2432 Å
α = 59.95°, β = 59.95°, γ = 90.27°
Sites, in units of the cell vectors:
Sr: 0.2500 0.7499 0.5000
Sr: 0.7500 0.2501 0.5000
Li: 0.2378 0.7622 0.0000
Li: 0.7624 0.7624 0.0000
Li: 0.2373 0.2373 0.5252
Li: 0.7622 0.2378 0.0000
Li: 0.2376 0.2376 0.0000
Li: 0.7627 0.7627 0.4748
Tl: 0.5000 0.5000 0.0000
Pd: 0.0000 0.0000 0.0000

Symmetry   Immm (71)
DFT total energy   -23.46 eV/cell



# 3
Sr2LiTlPd | GGA-PBE | relaxed

a = 5.9166 Å, b = 5.9166 Å, c = 4.8016 Å
α = 90.00°, β = 90.00°, γ = 90.00°
Sites, in units of the cell vectors:
Sr: 0.0000 0.5000 0.0000
Sr: 0.5000 0.0000 0.0000
Tl: 0.5000 0.5000 0.5000
Pd: 0.0000 0.0000 0.0000
Li: 0.0000 0.0000 0.5000

Symmetry   P4/mmm (123)
DFT total energy   -14.23 eV/cell



# 4
SrLiTmPd | GGA-PBE | relaxed

a = 5.1845 Å, b = 5.1845 Å, c = 5.1845 Å
α = 60.00°, β = 60.00°, γ = 60.00°
Sites, in units of the cell vectors:
Sr: 0.7500 0.7500 0.7500
Tm: 0.2500 0.2500 0.2500
Pd: 0.5000 0.5000 0.5000
Li: 0.0000 0.0000 0.0000

Symmetry   F-43m (216)
DFT total energy   -14.24 eV/cell



# 5
Sr2LiUPd6 | GGA-PBE | relaxed

a = 6.8028 Å, b = 6.8030 Å, c = 6.8137 Å
α = 59.92°, β = 59.93°, γ = 90.00°
Sites, in units of the cell vectors:
Sr: 0.2499 0.7501 0.5000
Sr: 0.7501 0.2499 0.5000
Li: 0.0000 0.0000 0.0000
U: 0.5000 0.5000 0.0000
Pd: 0.2355 0.7645 0.0000
Pd: 0.7643 0.7643 0.0004
Pd: 0.2356 0.2356 0.5291
Pd: 0.7645 0.2355 0.0000
Pd: 0.2357 0.2357 0.9996
Pd: 0.7644 0.7644 0.4709

Symmetry   Immm (71)
DFT total energy   -50.34 eV/cell



# 6
SrLi2YPd | GGA-PBE | relaxed

a = 5.2118 Å, b = 5.2118 Å, c = 5.2640 Å
α = 90.00°, β = 90.00°, γ = 90.00°
Sites, in units of the cell vectors:
Y: 0.0000 0.0000 0.5000
Sr: 0.5000 0.5000 0.5000
Pd: 0.0000 0.0000 0.0000
Li: 0.0000 0.5000 0.0000
Li: 0.5000 0.0000 0.0000

Symmetry   P4/mmm (123)
DFT total energy   -17.68 eV/cell